AcSmNi2 | Alexandria | PBE | relaxed; total energy = -5.269 eV per atom; energy above the lowest structure with this stoichiometry = 11.65 kJ per mole of atoms; size of the total moment = 0.000 Bohr magnetons per cell; DFT formation energy = -0.171 eV per atom
1.0
5.050 0.000 0.000
0.000 5.050 0.000
0.000 0.000 3.554
Ac Sm Ni
1 1 2
Cartesian
0.000 0.000 0.000
2.525 2.525 0.000
0.000 2.525 1.777
2.525 0.000 1.777